Record 1
Material: ErBeCu4
Method: DFT, PBE-GGA
State: optimized geometry

Computed properties:
ΔE_f: -0.07 eV/atom
symmetry: F-43m, No. 216

Lattice parameters (Å, degrees): 4.9389 4.9389 4.9389 60.00 60.00 60.00
Positions (direct):
Er  0.0000  0.0000  0.0000
Be  0.2500  0.2500  0.2500
Cu  0.1286  0.6238  0.6238
Cu  0.6238  0.1286  0.6238
Cu  0.6238  0.6238  0.1286
Cu  0.6238  0.6238  0.6238


Record 2
Material: CrPtBr3
Method: DFT, PBE-GGA
State: optimized geometry

Computed properties:
ΔE to the lowest computed polymorph: 0.0 meV/atom
formation energy without anion corrections: 6.6 kcal/mol of atoms
symmetry: Pm-3m, No. 221

Lattice parameters (Å, degrees): 5.1696 5.1696 5.1696 90.00 90.00 90.00
Positions (direct):
Cr  0.0000  0.0000  0.0000
Pt  0.5000  0.5000  0.5000
Br  0.0000  0.5000  0.5000
Br  0.5000  0.0000  0.5000
Br  0.5000  0.5000  0.0000


Record 3
Material: Ni2Sb2P
Method: DFT, PBE-GGA
State: optimized geometry

Computed properties:
ΔE to the lowest computed polymorph: 298.3 meV/atom
formation energy without anion corrections: 2.2 kcal/mol of atoms
symmetry: P4/nmm, No. 129

Lattice parameters (Å, degrees): 4.3004 4.3004 10.9342 90.00 90.00 90.00
Positions (direct):
Ni  0.2500  0.2500  0.1214
Ni  0.2500  0.7500  0.5000
Ni  0.7500  0.2500  0.5000
Ni  0.7500  0.7500  0.8786
Sb  0.2500  0.2500  0.3483
Sb  0.2500  0.7500  0.0000
Sb  0.7500  0.2500  0.0000
Sb  0.7500  0.7500  0.6517
P  0.2500  0.2500  0.6204
P  0.7500  0.7500  0.3796


Record 4
Material: Mn2CrSe
Method: DFT, PBE-GGA
State: optimized geometry

Computed properties:
formation energy without anion corrections: 6.9 kcal/mol of atoms
symmetry: R-3m, No. 166

Lattice parameters (Å, degrees): 3.1122 3.1122 22.2696 90.00 90.00 120.00
Positions (direct):
Mn  0.0000  0.0000  0.2475
Mn  0.0000  0.0000  0.7525
Mn  0.3333  0.6667  0.4192
Mn  0.3333  0.6667  0.9141
Mn  0.6667  0.3333  0.0859
Mn  0.6667  0.3333  0.5808
Cr  0.0000  0.0000  0.5000
Cr  0.3333  0.6667  0.1667
Cr  0.6667  0.3333  0.8333
Se  0.0000  0.0000  0.0000
Se  0.3333  0.6667  0.6667
Se  0.6667  0.3333  0.3333


Record 5
Material: Dy12Ni6C
Method: DFT, PBE-GGA
State: optimized geometry

Computed properties:
ΔE_f: -0.22 eV/atom
symmetry: R-3, No. 148

Lattice parameters (Å, degrees): 7.8056 7.8056 7.8056 97.41 97.41 97.41
Positions (direct):
Dy  0.0427  0.6926  0.9180
Dy  0.0820  0.9573  0.3074
Dy  0.1819  0.4125  0.5811
Dy  0.3074  0.0820  0.9573
Dy  0.4125  0.5811  0.1819
Dy  0.4189  0.8181  0.5875
Dy  0.5811  0.1819  0.4125
Dy  0.5875  0.4189  0.8181
Dy  0.6926  0.9180  0.0427
Dy  0.8181  0.5875  0.4189
Dy  0.9180  0.0427  0.6926
Dy  0.9573  0.3074  0.0820
Ni  0.1270  0.6184  0.3074
Ni  0.3074  0.1270  0.6184
Ni  0.3816  0.6926  0.8730
Ni  0.6184  0.3074  0.1270
Ni  0.6926  0.8730  0.3816
Ni  0.8730  0.3816  0.6926
C  0.0000  0.0000  0.0000


Record 6
Material: BeTeN
Method: DFT, PBE-GGA
State: optimized geometry

Computed properties:
formation energy without anion corrections: 4.1 kcal/mol of atoms
symmetry: C2/m, No. 12

Lattice parameters (Å, degrees): 8.1953 4.0931 7.6652 90.00 114.41 90.00
Positions (direct):
Be  0.0725  0.0000  0.4165
Be  0.4275  0.5000  0.5835
Be  0.5725  0.5000  0.4165
Be  0.9275  0.0000  0.5835
Te  0.2414  0.5000  0.7640
Te  0.2586  0.0000  0.2360
Te  0.7414  0.0000  0.7640
Te  0.7586  0.5000  0.2360
N  0.1459  0.0000  0.6527
N  0.3541  0.5000  0.3473
N  0.6459  0.5000  0.6527
N  0.8541  0.0000  0.3473


Record 7
Material: SrUFeS4
Method: DFT, PBE-GGA
State: optimized geometry

Computed properties:
formation energy without anion corrections: -28.6 kcal/mol of atoms
symmetry: P2_1/m, No. 11

Lattice parameters (Å, degrees): 6.4144 5.9892 8.1762 90.00 107.53 90.00
Positions (direct):
Sr  0.2429  0.2500  0.4399
Sr  0.7571  0.7500  0.5601
U  0.2558  0.2500  0.9462
U  0.7442  0.7500  0.0538
Fe  0.2586  0.7500  0.1755
Fe  0.7414  0.2500  0.8245
S  0.0636  0.7500  0.9031
S  0.0669  0.7500  0.3601
S  0.4849  0.5090  0.7761
S  0.4849  0.9910  0.7761
S  0.5151  0.0090  0.2239
S  0.5151  0.4910  0.2239
S  0.9331  0.2500  0.6399
S  0.9364  0.2500  0.0969


Record 8
Material: PuCuAsH
Method: DFT, PBE-GGA
State: optimized geometry

Computed properties:
symmetry: P4/nmm, No. 129

Lattice parameters (Å, degrees): 4.0140 4.0140 7.2940 90.00 90.00 90.00
Positions (direct):
Pu  0.2500  0.2500  0.1511
Pu  0.7500  0.7500  0.8489
Cu  0.2500  0.7500  0.5000
Cu  0.7500  0.2500  0.5000
As  0.2500  0.2500  0.7073
As  0.7500  0.7500  0.2927
H  0.2500  0.7500  0.0000
H  0.7500  0.2500  0.0000


no.,E_tot (eV per atom),mass density (g/cm³)
1,-4.187,8.4
2,-3.849,5.9
3,-4.947,6.4
4,-7.560,6.4
5,-5.441,8.3
6,-4.887,4.3
7,-6.659,5.7
8,-7.175,10.8